[1]
Compound: UTa4S8
Source: Alexandria
Functional: GGA-PBE
Structure: optimized geometry

a = 7.429 Å, b = 7.429 Å, c = 7.429 Å
α = 55.14°, β = 55.14°, γ = 55.14°
Atoms (fractional coordinates):
U (0.000, 0.000, 0.000)
Ta (0.000, 0.000, 0.500)
Ta (0.000, 0.500, 0.000)
Ta (0.500, 0.000, 0.000)
Ta (0.500, 0.500, 0.500)
S (0.246, 0.246, 0.246)
S (0.258, 0.258, 0.739)
S (0.258, 0.739, 0.258)
S (0.261, 0.742, 0.742)
S (0.739, 0.258, 0.258)
S (0.742, 0.261, 0.742)
S (0.742, 0.742, 0.261)
S (0.754, 0.754, 0.754)

Properties
- uncorrected energy (eV per cell) = -105.54
- crystal system = trigonal
- calculated density (g cm⁻³) = 7.87

[2]
Compound: La2ZnPd
Source: Alexandria
Functional: GGA-PBE
Structure: optimized geometry

a = 6.144 Å, b = 4.695 Å, c = 8.022 Å
α = 90.00°, β = 112.38°, γ = 90.00°
Atoms (fractional coordinates):
La (0.187, 0.250, 0.420)
La (0.285, 0.750, 0.071)
La (0.715, 0.250, 0.929)
La (0.813, 0.750, 0.580)
Zn (0.369, 0.750, 0.709)
Zn (0.631, 0.250, 0.291)
Pd (0.164, 0.250, 0.788)
Pd (0.836, 0.750, 0.212)

Properties
- uncorrected energy (eV per cell) = -36.99
- crystal system = monoclinic
- calculated density (g cm⁻³) = 6.98

[3]
Compound: BeCd2As
Source: Alexandria
Functional: GGA-PBE
Structure: optimized geometry

a = 4.796 Å, b = 4.796 Å, c = 4.796 Å
α = 60.00°, β = 60.00°, γ = 60.00°
Atoms (fractional coordinates):
Be (0.000, 0.000, 0.000)
Cd (0.250, 0.250, 0.250)
Cd (0.750, 0.750, 0.750)
As (0.500, 0.500, 0.500)

Properties
- E above lowest polymorph (eV/f.u.) = 1.49
- crystal system = cubic
- calculated density (g cm⁻³) = 6.57